ReSbIN2: relaxed, PBEsol.

Lattice parameters (Å, degrees): 3.973 3.973 6.404 90.00 90.00 90.00
Site moments in Bohr magnetons follow the coordinates.
Positions (direct):
I  0.000  0.000  0.500  0.02
N  0.000  0.500  0.000  0.22
N  0.500  0.000  0.000  0.22
Re  0.500  0.500  0.500  2.83
Sb  0.000  0.000  0.000  0.00

Properties
Raw formation energy   2148 meV per atom
Magnetization   4.1 μB/f.u.
Calculated volume   101.1 Å³/f.u.
DOS(E_F)   0.77 states/eV per atom
Space group   No. 123